Entry 1:
The following is a PBEsol calculation of TcPCl2 after structural relaxation, from Alexandria.

abc: 6.1783 6.1783 6.1783
angles: 90.00 90.00 90.00
Closest atoms and distances in Å follow each position.
Space group Fm-3m (No. 225)
Symmetry-distinct sites (fractional):
Tc (0.0000, 0.0000, 0.0000) (multiplicity 4)  8 Cl 2.68
P (0.0000, 0.0000, 0.5000) (multiplicity 4)  8 Cl 2.68
Cl (0.2500, 0.2500, 0.2500) (multiplicity 8)  4 Tc 2.68, 4 P 2.68

Entry 2:
The following is a PBEsol calculation of TcPCl2 after structural relaxation, from Alexandria.

abc: 3.0922 3.0922 8.1335
angles: 90.00 90.00 90.00
Closest atoms and distances in Å follow each position.
Space group P4mm (No. 99)
Symmetry-distinct sites (fractional):
Tc (0.0000, 0.0000, 0.0000) (multiplicity 1)  1 Cl 2.24, 4 P 2.38
P (0.5000, 0.5000, 0.8859) (multiplicity 1)  1 Cl 2.04
Cl (0.0000, 0.0000, 0.2749) (multiplicity 1)  1 Tc 2.24
Cl (0.5000, 0.5000, 0.6350) (multiplicity 1)  1 P 2.04

no.,formation energy from raw total energies (meV per atom),DFT total energy (hartree per atom)
1,848,-0.162
2,-329,-0.206